Density functional theory data (PBE-GGA) for a geometry-optimized NbTeO6 structure.

Unit cell a=5.504 b=5.504 c=5.505 alpha=60.00 beta=60.00 gamma=60.00
Fractional coordinates of all 8 atoms:
1 Nb 0.500 0.500 0.500
2 Te 0.000 0.000 0.000
3 O 0.243 0.248 0.754
4 O 0.754 0.243 0.755
5 O 0.752 0.246 0.246
6 O 0.246 0.757 0.245
7 O 0.757 0.752 0.246
8 O 0.248 0.754 0.754

Values from the calculation:
- ΔE to the lowest computed polymorph (eV per atom) = 0.000
- calculated density (g/cm3) = 4.5

Density functional theory data (PBE-GGA) for a geometry-optimized NbTeO structure.

Unit cell a=3.297 b=5.684 c=7.605 alpha=105.45 beta=90.00 gamma=90.00
Fractional coordinates of all 6 atoms:
1 Nb 0.750 0.259 0.505
2 Nb 0.250 0.741 0.495
3 Te 0.750 0.685 0.793
4 Te 0.250 0.315 0.207
5 O 0.750 0.861 0.386
6 O 0.250 0.139 0.614

Values from the calculation:
- calculated density (g/cm3) = 5.7

no.,formation energy (no corrections) (eV per atom)
1,-1.40
2,-1.32